[1]
This record from Alexandria via LeMat-Bulk describes a geometry-optimized Ba2HgGe2 structure. The functional is PBE-GGA.

Results
space group: No. 139
offset from the most stable computed form: 0.260 eV per atom
crystal system: tetragonal

a b c (Å): 10.744 10.744 10.744
angles (deg): 158.86 158.86 30.07
Element x y z (fractional)
Ba 0.111 0.111 0.000
Ba 0.889 0.889 0.000
Hg 0.500 0.500 0.000
Ge 0.250 0.750 0.500
Ge 0.750 0.250 0.500

***

[2]
This record from Alexandria via LeMat-Bulk describes a geometry-optimized Ba2Hg7Ge structure. The functional is PBE-GGA.

Results
space group: No. 115
crystal system: tetragonal

a b c (Å): 4.884 4.884 12.433
angles (deg): 90.00 90.00 90.00
Element x y z (fractional)
Ba 0.000 0.500 0.241
Ba 0.500 0.000 0.759
Hg 0.000 0.000 0.000
Hg 0.000 0.000 0.500
Hg 0.000 0.500 0.642
Hg 0.000 0.500 0.874
Hg 0.500 0.000 0.126
Hg 0.500 0.000 0.358
Hg 0.500 0.500 0.500
Ge 0.500 0.500 0.000

***

[3]
This record from Alexandria via LeMat-Bulk describes a geometry-optimized BaHg3Ge structure. The functional is PBE-GGA.

Results
space group: No. 221
offset from the most stable computed form: 0.932 eV per atom
crystal system: cubic

a b c (Å): 6.484 6.484 6.484
angles (deg): 90.00 90.00 90.00
Element x y z (fractional)
Ba 0.000 0.000 0.000
Hg 0.000 0.000 0.500
Hg 0.000 0.500 0.000
Hg 0.500 0.000 0.000
Ge 0.500 0.500 0.500

***

Number 1: density 6.39 g cm⁻³, DOS at the Fermi energy 4.5 states/eV per cell, ΔE_f -0.266 eV/atom. Number 2: density 9.81 g cm⁻³, DOS at the Fermi energy 4.3 states/eV per cell, ΔE_f -0.308 eV/atom. Number 3: density 4.94 g cm⁻³, DOS at the Fermi energy 4.4 states/eV per cell, ΔE_f 0.650 eV/atom.